No. 1
ZrInCu | PBE | relaxed

Lattice parameters (Å, degrees): 4.2745 8.6609 3.1492 79.47 90.00 90.00
Element x y z (fractional)
Zr1 0.4277 0.5488 0.1575
Zr2 0.4278 0.9416 0.9605
Cu1 0.9275 0.4315 0.7159
Cu2 0.4275 0.2723 0.7963
In1 0.9278 0.7507 0.5564
In2 0.9277 0.1611 0.3514

Computed properties:
- spin magnetization (μB per formula unit) = 0.0
- energy of formation from the pure elements (eV/atom) = -0.148
- energy (eV/atom) = -5.276
- density (g cm⁻³) = 7.81

No. 2
UTlRhS3 | PBE | relaxed

Lattice parameters (Å, degrees): 3.9768 8.7537 9.0733 107.63 90.00 90.00
Each line ends with the local moment (μB).
Element x y z (fractional)
U1 0.2500 0.6789 0.1582  1.70
U2 0.7500 0.3211 0.8418  1.70
Tl1 0.2500 0.1916 0.2490  0.00
Tl2 0.7500 0.8084 0.7510  0.00
Rh1 0.2500 0.0906 0.5921  0.04
Rh2 0.7500 0.9094 0.4079  0.04
S1 0.7500 0.8706 0.1323  -0.04
S2 0.2500 0.1294 0.8677  -0.04
S3 0.2500 0.7975 0.4603  -0.03
S4 0.7500 0.2025 0.5397  -0.03
S5 0.7500 0.4626 0.1535  -0.06
S6 0.2500 0.5374 0.8465  -0.06

Computed properties:
- spin magnetization (μB per formula unit) = 1.7
- formation energy (no corrections) (meV/atom) = -869.0
- energy (eV/atom) = -6.434
- density (g cm⁻³) = 7.08

No. 3
SrAlZnCd | PBE | relaxed

Lattice parameters (Å, degrees): 5.0998 5.0998 5.0998 60.00 60.00 60.00
Element x y z (fractional)
Sr1 0.0000 0.0000 0.0000
Zn1 0.2500 0.2500 0.2500
Al1 0.5000 0.5000 0.5000
Cd1 0.7500 0.7500 0.7500

Computed properties:
- spin magnetization (μB per formula unit) = 0.0
- energy of formation from the pure elements (eV/atom) = -0.104
- energy (eV/atom) = -2.008
- density (g cm⁻³) = 5.18

No. 4
FeHgRu2 | PBE | relaxed

Lattice parameters (Å, degrees): 5.1985 5.1985 5.1985 145.55 128.66 63.30
Each line ends with the local moment (μB).
Element x y z (fractional)
Fe1 0.5140 0.5140 0.0000  2.83
Hg1 0.2596 0.7596 0.5000  -0.02
Ru1 0.9871 0.9871 0.0000  0.28
Ru2 0.7393 0.2393 0.5000  0.38

Computed properties:
- spin magnetization (μB per formula unit) = 3.5
- energy of formation from the pure elements (eV/atom) = 0.547
- energy (eV/atom) = -6.282
- density (g cm⁻³) = 12.41

No. 5
Na6AgPb2 | PBE | relaxed

Lattice parameters (Å, degrees): 5.4920 5.4920 10.8895 75.39 75.39 60.00
Element x y z (fractional)
Na1 0.5784 0.5784 0.2648
Na2 0.8071 0.8071 0.5786
Na3 0.6999 0.6999 0.9003
Na4 0.1929 0.1929 0.4214
Na5 0.4216 0.4216 0.7352
Na6 0.3001 0.3001 0.0997
Ag1 0.0000 0.0000 0.0000
Pb1 0.9108 0.9108 0.2675
Pb2 0.0892 0.0892 0.7325

Computed properties:
- spin magnetization (μB per formula unit) = 0.0
- energy of formation from the pure elements (eV/atom) = -0.116
- energy (eV/atom) = -2.136
- density (g cm⁻³) = 4.03

No. 6
NaCr | PBE | relaxed

Lattice parameters (Å, degrees): 7.0379 7.0379 7.0379 90.00 90.00 90.00
Each line ends with the local moment (μB).
Element x y z (fractional)
Na1 0.2500 0.2500 0.2500  0.01
Na2 0.2500 0.7500 0.7500  0.01
Na3 0.7500 0.2500 0.7500  0.01
Na4 0.7500 0.7500 0.2500  0.01
Cr1 0.0000 0.0000 0.0000  4.32
Cr2 0.0000 0.5000 0.5000  4.32
Cr3 0.5000 0.0000 0.5000  4.32
Cr4 0.5000 0.5000 0.0000  4.32

Computed properties:
- spin magnetization (μB per formula unit) = 5.2
- energy of formation from the pure elements (eV/atom) = 1.668
- energy (eV/atom) = -3.803
- density (g cm⁻³) = 1.43

No. 7
Nb2VRe3 | PBE | relaxed

Lattice parameters (Å, degrees): 3.1584 3.1584 9.4594 90.00 90.00 90.00
Element x y z (fractional)
Nb1 0.5000 0.5000 0.8286
Nb2 0.5000 0.5000 0.1714
V1 0.5000 0.5000 0.5000
Re1 0.0000 0.0000 0.0000
Re2 0.0000 0.0000 0.6569
Re3 0.0000 0.0000 0.3431

Computed properties:
- spin magnetization (μB per formula unit) = 0.0
- energy of formation from the pure elements (eV/atom) = -0.266
- energy (eV/atom) = -11.366
- density (g cm⁻³) = 14.00

No. 8
Na4Ta3O10 | PBE | relaxed

Lattice parameters (Å, degrees): 3.9811 3.9811 14.5060 97.89 97.89 90.00
Each line ends with the local moment (μB).
Element x y z (fractional)
Na1 0.5736 0.5736 0.1472  0.00
Na2 0.4264 0.4264 0.8528  0.00
Na3 0.2898 0.2898 0.5797  0.00
Na4 0.7102 0.7102 0.4203  0.00
Ta1 0.1442 0.1442 0.2884  -0.01
Ta2 0.8558 0.8558 0.7116  -0.01
Ta3 0.0000 0.0000 0.0000  -0.02
O1 0.1383 0.6383 0.2767  0.03
O2 0.0692 0.0692 0.1385  0.08
O3 0.6383 0.1383 0.2767  0.03
O4 0.8617 0.3617 0.7233  0.03
O5 0.3617 0.8617 0.7233  0.03
O6 0.9308 0.9308 0.8615  0.08
O7 0.2098 0.2098 0.4196  0.03
O8 0.7902 0.7902 0.5804  0.03
O9 0.0000 0.5000 0.0000  0.05
O10 0.5000 0.0000 0.0000  0.05

Computed properties:
- spin magnetization (μB per formula unit) = 0.5
- formation energy (no corrections) (meV/atom) = -2424.9
- energy (eV/atom) = -7.743
- density (g cm⁻³) = 5.85

No. 9
ScC2 | PBE | relaxed

Lattice parameters (Å, degrees): 4.5504 4.5504 4.5504 115.41 115.41 98.15
Element x y z (fractional)
Sc1 0.2500 0.2500 0.0000
Sc2 0.7500 0.7500 0.0000
C1 0.4060 0.9060 0.3119
C2 0.5940 0.0940 0.6881
C3 0.0940 0.4060 0.5000
C4 0.9060 0.5940 0.5000

Computed properties:
- spin magnetization (μB per formula unit) = 0.0
- energy of formation from the pure elements (eV/atom) = 0.405
- energy (eV/atom) = -7.855
- density (g cm⁻³) = 3.25

No. 10
GdHoTlNi | PBE | relaxed

Lattice parameters (Å, degrees): 5.1316 5.1316 5.1316 60.00 60.00 60.00
Each line ends with the local moment (μB).
Element x y z (fractional)
Ni1 0.5000 0.5000 0.5000  0.03
Tl1 0.0000 0.0000 0.0000  0.01
Gd1 0.2500 0.2500 0.2500  7.01
Ho1 0.7500 0.7500 0.7500  0.01

Computed properties:
- spin magnetization (μB per formula unit) = 7.2
- energy of formation from the pure elements (eV/atom) = -0.242
- energy (eV/atom) = -6.944
- density (g cm⁻³) = 10.17

No. 11
PRhCl2F | PBE | relaxed

Lattice parameters (Å, degrees): 5.2298 5.2298 3.5533 90.00 90.00 90.00
Each line ends with the local moment (μB).
Element x y z (fractional)
P1 0.0000 0.0000 0.5000  -0.04
F1 0.0000 0.0000 0.0000  -0.01
Rh1 0.5000 0.5000 0.5000  1.70
Cl1 0.0000 0.5000 0.0000  0.09
Cl2 0.5000 0.0000 0.0000  0.09

Computed properties:
- spin magnetization (μB per formula unit) = 1.9
- formation energy (no corrections) (meV/atom) = 500.3
- energy (eV/atom) = -3.165
- density (g cm⁻³) = 3.82

No. 12
Hf2SeS | PBE | relaxed

Lattice parameters (Å, degrees): 4.6144 4.6144 4.6144 60.00 60.00 60.00
Element x y z (fractional)
S1 0.0000 0.0000 0.0000
Hf1 0.2500 0.2500 0.2500
Hf2 0.7500 0.7500 0.7500
Se1 0.5000 0.5000 0.5000

Computed properties:
- spin magnetization (μB per formula unit) = 0.0
- formation energy (no corrections) (meV/atom) = -1001.2
- energy (eV/atom) = -7.881
- density (g cm⁻³) = 11.19

No. 13
Ba2FeRh | PBE | relaxed

Lattice parameters (Å, degrees): 11.6339 11.6339 8.5324 47.02 47.02 90.00
Element x y z (fractional)
Rh1 0.0000 0.0000 0.0000
Rh2 0.7500 0.2500 0.5000
Ba1 0.8034 0.1250 0.2500
Ba2 0.9466 0.6250 0.2500
Ba3 0.3750 0.1966 0.7500
Ba4 0.8750 0.0534 0.7500
Fe1 0.5000 0.5000 0.0000
Fe2 0.2500 0.7500 0.5000

Computed properties:
- spin magnetization (μB per formula unit) = 0.2
- energy of formation from the pure elements (eV/atom) = 0.495
- energy (eV/atom) = -4.420
- density (g cm⁻³) = 4.70

No. 14
LaFeNi4 | PBE | relaxed

Lattice parameters (Å, degrees): 5.0508 5.0508 3.9664 90.00 90.00 120.00
Each line ends with the local moment (μB).
Element x y z (fractional)
La1 0.6667 0.3333 0.0000  -0.09
Fe1 0.0000 0.0000 0.0000  2.62
Ni1 0.3333 0.6667 0.0000  0.23
Ni2 0.6661 0.8331 0.5000  0.42
Ni3 0.1669 0.8331 0.5000  0.42
Ni4 0.1669 0.3339 0.5000  0.42

Computed properties:
- spin magnetization (μB per formula unit) = 3.8
- energy of formation from the pure elements (eV/atom) = -0.201
- energy (eV/atom) = -6.287
- density (g cm⁻³) = 8.14

No. 15
GaSbF | PBE | relaxed

Lattice parameters (Å, degrees): 5.9177 6.7001 7.8130 90.00 101.85 90.00
Element x y z (fractional)
Ga1 0.5021 0.2056 0.1084
Ga2 0.4979 0.7944 0.8916
Ga3 0.0021 0.2944 0.6084
Ga4 0.9979 0.7056 0.3916
Sb1 0.1895 0.4580 0.9193
Sb2 0.8105 0.5420 0.0807
Sb3 0.3105 0.9580 0.5807
Sb4 0.6895 0.0420 0.4193
F1 0.3287 0.9270 0.0509
F2 0.8287 0.5730 0.5509
F3 0.6713 0.0730 0.9491
F4 0.1713 0.4270 0.4491

Computed properties:
- spin magnetization (μB per formula unit) = 0.0
- formation energy (no corrections) (meV/atom) = -1073.7
- energy (eV/atom) = -4.081
- density (g cm⁻³) = 4.61

No. 16
K2YU3O12 | PBE | relaxed

Lattice parameters (Å, degrees): 7.8927 7.8927 7.8927 61.88 61.88 61.88
Element x y z (fractional)
K1 0.6741 0.6741 0.6741
K2 0.3259 0.3259 0.3259
Y1 0.0000 0.0000 0.0000
U1 0.5000 0.0000 0.0000
U2 0.0000 0.5000 0.0000
U3 0.0000 0.0000 0.5000
O1 0.3080 0.3080 0.9455
O2 0.9304 0.9304 0.3360
O3 0.3360 0.9304 0.9304
O4 0.9455 0.3080 0.3080
O5 0.9304 0.3360 0.9304
O6 0.3080 0.9455 0.3080
O7 0.6920 0.6920 0.0545
O8 0.0696 0.0696 0.6640
O9 0.6640 0.0696 0.0696
O10 0.0545 0.6920 0.6920
O11 0.0696 0.6640 0.0696
O12 0.6920 0.0545 0.6920

Computed properties:
- spin magnetization (μB per formula unit) = 0.0
- formation energy (no corrections) (meV/atom) = -2870.7
- energy (eV/atom) = -8.539
- density (g cm⁻³) = 4.92

No. 17
YTm2Zr | PBE | relaxed

Lattice parameters (Å, degrees): 3.9693 3.9693 7.2773 90.00 90.00 90.00
Element x y z (fractional)
Y1 0.5000 0.5000 0.0000
Tm1 0.0000 0.0000 0.7237
Tm2 0.0000 0.0000 0.2763
Zr1 0.5000 0.5000 0.5000

Computed properties:
- spin magnetization (μB per formula unit) = 0.0
- energy of formation from the pure elements (eV/atom) = 0.161
- energy (eV/atom) = -5.828
- density (g cm⁻³) = 7.50

No. 18
Na2SnCl6 | PBE | relaxed

Lattice parameters (Å, degrees): 6.8090 7.1051 10.1799 90.00 93.10 90.00
Element x y z (fractional)
Na1 0.9631 0.4191 0.7782
Na2 0.5369 0.9191 0.7218
Na3 0.4631 0.0809 0.2782
Na4 0.0369 0.5809 0.2218
Sn1 0.5000 0.5000 0.0000
Sn2 0.0000 0.0000 0.5000
Cl1 0.8550 0.9341 0.2766
Cl2 0.8327 0.7172 0.5830
Cl3 0.7900 0.6906 0.9490
Cl4 0.7100 0.1906 0.5510
Cl5 0.6673 0.2172 0.9170
Cl6 0.6450 0.4341 0.2234
Cl7 0.1450 0.0659 0.7234
Cl8 0.1673 0.2828 0.4170
Cl9 0.2100 0.3094 0.0510
Cl10 0.2900 0.8094 0.4490
Cl11 0.3327 0.7828 0.0830
Cl12 0.3550 0.5659 0.7766

Computed properties:
- spin magnetization (μB per formula unit) = 0.0
- formation energy (no corrections) (meV/atom) = -1338.7
- energy (eV/atom) = -3.308
- density (g cm⁻³) = 2.55

No. 19
TlCu2TeMo | PBE | relaxed

Lattice parameters (Å, degrees): 4.7958 6.1398 4.7958 90.00 90.00 90.00
Each line ends with the local moment (μB).
Element x y z (fractional)
Tl1 0.0000 0.0000 0.0000  -0.02
Te1 0.0000 0.5000 0.0000  -0.12
Mo1 0.5000 0.5000 0.5000  3.65
Cu1 0.0000 0.0000 0.5000  0.00
Cu2 0.5000 0.0000 0.0000  -0.01

Computed properties:
- spin magnetization (μB per formula unit) = 4.3
- formation energy (no corrections) (meV/atom) = 1404.7
- energy (eV/atom) = -3.502
- density (g cm⁻³) = 6.53

No. 20
Ta2AgSn | PBE | relaxed

Lattice parameters (Å, degrees): 7.5748 7.5748 6.0623 51.34 51.34 90.00
Element x y z (fractional)
Sn1 0.0000 0.0000 0.0000
Sn2 0.7500 0.2500 0.5000
Ag1 0.5000 0.5000 0.0000
Ag2 0.2500 0.7500 0.5000
Ta1 0.6194 0.1250 0.2500
Ta2 0.1306 0.6250 0.2500
Ta3 0.3750 0.3806 0.7500
Ta4 0.8750 0.8694 0.7500

Computed properties:
- spin magnetization (μB per formula unit) = 0.0
- energy of formation from the pure elements (eV/atom) = 0.665
- energy (eV/atom) = -6.975
- density (g cm⁻³) = 12.00